A plane-wave DFT calculation with GGA-PBE was carried out for a relaxed structure of NaEu2In.

Lattice parameters (Å, degrees): 4.043 4.043 8.706 90.00 90.00 90.00
Last column: magnetic moment on the atom in μB.
Positions (direct):
Eu (0.000, 0.000, 0.790)  6.91
Eu (0.000, 0.000, 0.210)  6.91
Na (0.500, 0.500, 0.500)  0.01
In (0.500, 0.500, 0.000)  -0.01

Values from the calculation:
Its energy is -6.366 eV per atom. As for the energy of formation from the pure elements: -0.86 eV/f.u. The symmetry is P4/mmm, No. 123.